Entry 1:
ScTlO2F | GGA-PBE | relaxed

Cell: 4.3209 4.3209 4.3831 Å, 90.00 90.00 90.00°
Closest atoms and distances in Å follow each position.
Space group P4/mmm (No. 123)
Asymmetric unit:
Sc  0.0000  0.0000  0.0000 x1  4 F 3.06, 8 O 3.08
Tl  0.5000  0.5000  0.5000 x1  4 O 2.16, 2 F 2.19
O  0.0000  0.5000  0.5000 x2  2 Tl 2.16
F  0.5000  0.5000  0.0000 x1  2 Tl 2.19

Properties
V (Å³/atom): 16.4
Raw total energy (eV per atom): -5.084
Crystal system: tetragonal
Formation energy from raw total energies (eV/atom): -0.987


Entry 2:
Lu2TiCd | GGA-PBE | relaxed

Cell: 5.2221 5.2221 3.5484 Å, 90.00 90.00 90.00°
Closest atoms and distances in Å follow each position.
Space group P4/mmm (No. 123)
Asymmetric unit:
Lu  0.0000  0.5000  0.0000 x2  4 Cd 3.16, 4 Ti 3.16
Ti  0.0000  0.0000  0.5000 x1  8 Lu 3.16
Cd  0.5000  0.5000  0.5000 x1  8 Lu 3.16

Properties
V (Å³/atom): 24.2
Formation enthalpy at 0 K (eV per atom): 0.02
Offset from the most stable computed form (kJ/mol of atoms): 8.8
Raw total energy (eV per atom): -4.442
Crystal system: tetragonal